Entry 1:
The following is a DFT calculation (SCAN) of a PBEsol-optimized structure of CoSb2Te.

Lattice parameters (Å, degrees): 3.540 5.060 5.060 103.06 90.00 90.00
Site moments in Bohr magnetons follow the coordinates.
Positions (direct):
Sb 0.000 0.500 0.000  -0.01
Sb 0.000 0.000 0.500  -0.01
Te 0.500 0.000 0.000  0.00
Co 0.500 0.500 0.500  1.88

- Volume: 88.3 Å³/cell
- Symmetry: Cmmm, No. 65
- Total magnetization: 1.87 μB per formula unit
- E_form (uncorrected): 2.4 eV per formula unit


Entry 2:
The following is a DFT calculation (SCAN) of a PBEsol-optimized structure of YCoSb2Te.

Lattice parameters (Å, degrees): 5.621 5.660 5.660 90.00 90.00 90.00
Site moments in Bohr magnetons follow the coordinates.
Positions (direct):
Te 0.500 0.000 0.000  -0.02
Sb 0.000 0.000 0.500  -0.04
Sb 0.000 0.500 0.000  -0.04
Y 0.000 0.000 0.000  0.03
Co 0.500 0.500 0.500  2.66

- Volume: 180.1 Å³/cell
- Symmetry: P4/mmm, No. 123
- Total magnetization: 2.73 μB per formula unit
- E_form (uncorrected): 4.3 eV per formula unit


Entry 3:
The following is a DFT calculation (SCAN) of a PBEsol-optimized structure of Th3Co3Sb4.

Lattice parameters (Å, degrees): 8.202 8.202 8.202 109.47 109.47 109.47
Site moments in Bohr magnetons follow the coordinates.
Positions (direct):
Th 0.375 0.625 0.750  0.10
Th 0.250 0.375 0.125  0.10
Th 0.875 0.750 0.625  0.10
Th 0.625 0.250 0.875  0.10
Th 0.125 0.875 0.250  0.10
Th 0.750 0.125 0.375  0.10
Sb 0.839 0.000 0.000  -0.06
Sb 0.500 0.839 0.500  -0.06
Sb 0.661 0.661 0.161  -0.06
Sb 0.339 0.000 0.000  -0.06
Sb 0.000 0.500 0.339  -0.06
Sb 0.000 0.500 0.839  -0.06
Sb 0.500 0.339 0.500  -0.06
Sb 0.161 0.161 0.661  -0.06
Co 0.875 0.125 0.750  -0.95
Co 0.375 0.750 0.125  -0.95
Co 0.250 0.875 0.625  -0.95
Co 0.750 0.625 0.875  -0.95
Co 0.125 0.250 0.375  -0.95
Co 0.625 0.375 0.250  -0.95

- Volume: 424.8 Å³/cell
- Symmetry: I-43d, No. 220
- Total magnetization: 2.97 μB per formula unit
- E_form (uncorrected): -6.8 eV per formula unit


Entry 4:
The following is a DFT calculation (SCAN) of a PBEsol-optimized structure of Ti3CoSb.

Lattice parameters (Å, degrees): 4.452 4.452 4.452 90.00 90.00 90.00
Positions (direct):
Sb 0.500 0.500 0.500
Ti 0.000 0.000 0.500
Ti 0.000 0.500 0.000
Ti 0.500 0.000 0.000
Co 0.000 0.000 0.000

- Volume: 88.2 Å³/cell
- Symmetry: Pm-3m, No. 221
- Total magnetization: 0.00 μB per formula unit
- E_form (uncorrected): -0.7 eV per formula unit
- Polymorph energy (0 for the lowest one): 0 meV/atom


Entry 5:
The following is a DFT calculation (SCAN) of a PBEsol-optimized structure of TiCoSb3.

Lattice parameters (Å, degrees): 5.121 5.121 5.121 90.00 90.00 90.00
Site moments in Bohr magnetons follow the coordinates.
Positions (direct):
Sb 0.500 0.000 0.000  -0.02
Sb 0.000 0.500 0.000  -0.02
Sb 0.000 0.000 0.500  -0.02
Ti 0.000 0.000 0.000  0.18
Co 0.500 0.500 0.500  2.51

- Volume: 134.3 Å³/cell
- Symmetry: Pm-3m, No. 221
- Total magnetization: 2.74 μB per formula unit
- E_form (uncorrected): 3.8 eV per formula unit


Entry 6:
The following is a DFT calculation (SCAN) of a PBEsol-optimized structure of Tl2CoSb.

Lattice parameters (Å, degrees): 3.562 4.631 6.183 111.33 105.91 92.14
Site moments in Bohr magnetons follow the coordinates.
Positions (direct):
Co 0.500 0.000 0.000  1.85
Tl 0.000 0.000 0.500  -0.01
Tl 0.500 0.500 0.500  -0.01
Sb 0.000 0.500 0.000  -0.04

- Volume: 90.3 Å³/cell
- Symmetry: C2/m, No. 12
- Total magnetization: 1.78 μB per formula unit
- E_form (uncorrected): 2.0 eV per formula unit
- Polymorph energy (0 for the lowest one): 255 meV/atom


Entry 7:
The following is a DFT calculation (SCAN) of a PBEsol-optimized structure of TlCo2Sb2.

Lattice parameters (Å, degrees): 4.519 4.519 5.791 112.96 112.96 90.00
Site moments in Bohr magnetons follow the coordinates.
Positions (direct):
Co 0.618 0.618 0.236  1.12
Co 0.382 0.382 0.764  1.12
Sb 0.250 0.750 0.500  -0.05
Sb 0.750 0.250 0.500  -0.05
Tl 0.000 0.000 0.000  -0.01

- Volume: 98.6 Å³/cell
- Symmetry: I4/mmm, No. 139
- Total magnetization: 2.01 μB per formula unit
- E_form (uncorrected): 2.3 eV per formula unit


Entry 8:
The following is a DFT calculation (SCAN) of a PBEsol-optimized structure of Tl2CoSb.

Lattice parameters (Å, degrees): 3.320 3.320 9.374 79.80 79.80 60.00
Site moments in Bohr magnetons follow the coordinates.
Positions (direct):
Tl 0.234 0.234 0.298  -0.04
Tl 0.766 0.766 0.702  -0.04
Sb 0.000 0.000 0.000  0.00
Co 0.500 0.500 0.500  1.69

- Volume: 87.6 Å³/cell
- Symmetry: R-3m, No. 166
- Total magnetization: 1.49 μB per formula unit
- E_form (uncorrected): 2.2 eV per formula unit
- Polymorph energy (0 for the lowest one): 311 meV/atom


Entry 9:
The following is a DFT calculation (SCAN) of a PBEsol-optimized structure of Tl2CoSb.

Lattice parameters (Å, degrees): 3.181 3.181 8.662 90.00 90.00 90.00
Site moments in Bohr magnetons follow the coordinates.
Positions (direct):
Sb 0.500 0.500 0.675  -0.02
Tl 0.500 0.500 0.304  -0.01
Tl 0.000 0.000 0.998  0.02
Co 0.000 0.000 0.523  1.11

- Volume: 87.7 Å³/cell
- Symmetry: P4mm, No. 99
- Total magnetization: 1.06 μB per formula unit
- E_form (uncorrected): 0.9 eV per formula unit
- Polymorph energy (0 for the lowest one): 0 meV/atom


Entry 10:
The following is a DFT calculation (SCAN) of a PBEsol-optimized structure of Tl2CoSb.

Lattice parameters (Å, degrees): 4.184 4.184 5.170 90.00 90.00 90.00
Site moments in Bohr magnetons follow the coordinates.
Positions (direct):
Tl 0.000 0.500 0.000  -0.01
Tl 0.500 0.000 0.000  -0.01
Co 0.500 0.500 0.500  2.15
Sb 0.000 0.000 0.500  0.01

- Volume: 90.5 Å³/cell
- Symmetry: P4/mmm, No. 123
- Total magnetization: 2.16 μB per formula unit
- E_form (uncorrected): 2.3 eV per formula unit
- Polymorph energy (0 for the lowest one): 350 meV/atom


Entry 11:
The following is a DFT calculation (SCAN) of a PBEsol-optimized structure of U3Co3Sb4.

Lattice parameters (Å, degrees): 7.921 7.921 7.921 109.47 109.47 109.47
Site moments in Bohr magnetons follow the coordinates.
Positions (direct):
Co 0.250 0.375 0.125  -0.94
Co 0.625 0.250 0.875  -0.94
Co 0.375 0.625 0.750  -0.94
Co 0.125 0.875 0.250  -0.94
Co 0.875 0.750 0.625  -0.94
Co 0.750 0.125 0.375  -0.94
U 0.250 0.875 0.625  1.85
U 0.125 0.250 0.375  1.85
U 0.875 0.125 0.750  1.85
U 0.375 0.750 0.125  1.85
U 0.750 0.625 0.875  1.85
U 0.625 0.375 0.250  1.85
Sb 0.500 0.667 0.500  -0.06
Sb 0.500 0.167 0.500  -0.06
Sb 0.667 0.000 0.000  -0.06
Sb 0.000 0.500 0.167  -0.06
Sb 0.000 0.500 0.667  -0.06
Sb 0.833 0.833 0.333  -0.06
Sb 0.333 0.333 0.833  -0.06
Sb 0.167 0.000 0.000  -0.06

- Volume: 382.6 Å³/cell
- Symmetry: I-43d, No. 220
- Total magnetization: 3.00 μB per formula unit
- E_form (uncorrected): -3.0 eV per formula unit


Entry 12:
The following is a DFT calculation (SCAN) of a PBEsol-optimized structure of Co2SbW.

Lattice parameters (Å, degrees): 3.540 3.947 3.947 90.00 90.00 90.00
Site moments in Bohr magnetons follow the coordinates.
Positions (direct):
Co 0.000 0.500 0.000  1.21
Co 0.000 0.000 0.500  1.21
Sb 0.500 0.500 0.500  -0.03
W 0.500 0.000 0.000  0.38

- Volume: 55.1 Å³/cell
- Symmetry: P4/mmm, No. 123
- Total magnetization: 2.76 μB per formula unit
- E_form (uncorrected): 1.6 eV per formula unit


Entry 13:
The following is a DFT calculation (SCAN) of a PBEsol-optimized structure of CoSbW2.

Lattice parameters (Å, degrees): 3.987 3.987 4.773 114.69 114.69 90.00
Site moments in Bohr magnetons follow the coordinates.
Positions (direct):
Sb 0.250 0.750 0.500  0.00
W 0.000 0.000 0.000  0.12
W 0.750 0.250 0.500  0.20
Co 0.500 0.500 0.000  1.30

- Volume: 61.2 Å³/cell
- Symmetry: I-4m2, No. 119
- Total magnetization: 1.63 μB per formula unit
- E_form (uncorrected): 2.4 eV per formula unit


Entry 14:
The following is a DFT calculation (SCAN) of a PBEsol-optimized structure of CoSbW.

Lattice parameters (Å, degrees): 4.279 4.279 4.279 60.00 60.00 60.00
Site moments in Bohr magnetons follow the coordinates.
Positions (direct):
Co 0.000 0.000 0.000  1.74
W 0.250 0.250 0.250  -0.74
Sb 0.500 0.500 0.500  0.02

- Volume: 55.4 Å³/cell
- Symmetry: F-43m, No. 216
- Total magnetization: 0.83 μB per formula unit
- E_form (uncorrected): 2.3 eV per formula unit
- Polymorph energy (0 for the lowest one): 314 meV/atom


Entry 15:
The following is a DFT calculation (SCAN) of a PBEsol-optimized structure of Co3SbW.

Lattice parameters (Å, degrees): 4.414 4.414 4.414 90.00 90.00 90.00
Positions (direct):
Co 0.500 0.000 0.000
Co 0.000 0.500 0.000
Co 0.000 0.000 0.500
W 0.000 0.000 0.000
Sb 0.500 0.500 0.500

- Volume: 86.0 Å³/cell
- Symmetry: Pm-3m, No. 221
- Total magnetization: 0.00 μB per formula unit
- E_form (uncorrected): 8.0 eV per formula unit


Entry 16:
The following is a DFT calculation (SCAN) of a PBEsol-optimized structure of CoSbW.

Lattice parameters (Å, degrees): 2.964 2.965 5.690 105.10 105.10 90.00
Positions (direct):
Sb 0.657 0.657 0.314
Co 0.990 0.990 0.981
W 0.353 0.352 0.705

- Volume: 46.5 Å³/cell
- Symmetry: I4mm, No. 107
- Total magnetization: 0.00 μB per formula unit
- E_form (uncorrected): 1.9 eV per formula unit
- Polymorph energy (0 for the lowest one): 187 meV/atom


Entry 17:
The following is a DFT calculation (SCAN) of a PBEsol-optimized structure of Co2SbW.

Lattice parameters (Å, degrees): 2.906 2.906 8.236 79.84 79.84 60.00
Site moments in Bohr magnetons follow the coordinates.
Positions (direct):
Co 0.004 0.004 0.989  1.88
Co 0.745 0.745 0.765  1.60
Sb 0.493 0.493 0.521  -0.01
W 0.258 0.258 0.225  -0.04

- Volume: 59.0 Å³/cell
- Symmetry: R3m, No. 160
- Total magnetization: 3.32 μB per formula unit
- E_form (uncorrected): 2.9 eV per formula unit


Entry 18:
The following is a DFT calculation (SCAN) of a PBEsol-optimized structure of CoSbW2.

Lattice parameters (Å, degrees): 2.885 2.885 7.757 90.00 90.00 103.33
Positions (direct):
Co 0.000 0.000 0.516
W 0.000 0.000 0.985
W 0.500 0.500 0.726
Sb 0.500 0.500 0.274

- Volume: 62.8 Å³/cell
- Symmetry: Cmm2, No. 35
- Total magnetization: 0.00 μB per formula unit
- E_form (uncorrected): 2.4 eV per formula unit


Entry 19:
The following is a DFT calculation (SCAN) of a PBEsol-optimized structure of CoSbW2.

Lattice parameters (Å, degrees): 2.963 2.963 6.989 90.00 90.00 90.00
Site moments in Bohr magnetons follow the coordinates.
Positions (direct):
W 0.000 0.000 0.219  0.00
W 0.000 0.000 0.781  0.00
Sb 0.500 0.500 0.500  -0.02
Co 0.500 0.500 0.000  1.52

- Volume: 61.3 Å³/cell
- Symmetry: P4/mmm, No. 123
- Total magnetization: 1.49 μB per formula unit
- E_form (uncorrected): 2.7 eV per formula unit


Entry 20:
The following is a DFT calculation (SCAN) of a PBEsol-optimized structure of CoSbW.

Lattice parameters (Å, degrees): 4.135 4.135 4.135 60.00 60.00 60.00
Site moments in Bohr magnetons follow the coordinates.
Positions (direct):
Co 0.250 0.250 0.250  0.80
Sb 0.000 0.000 0.000  -0.01
W 0.500 0.500 0.500  0.98

- Volume: 50.0 Å³/cell
- Symmetry: F-43m, No. 216
- Total magnetization: 1.98 μB per formula unit
- E_form (uncorrected): 1.4 eV per formula unit
- Polymorph energy (0 for the lowest one): 0 meV/atom